Entry one
Computed, not measured: AcTb2Ga after structural relaxation at the PBE level of DFT.

```
4
Lattice="3.6382 0.0000 0.0000 0.0000 3.6382 0.0000 0.0000 0.0000 9.1785" Properties=species:S:1:pos:R:3 pbc="T T T"
Ac 0.0000 0.0000 0.0000
Tb 1.8191 1.8191 2.7955
Tb 1.8191 1.8191 6.3830
Ga 0.0000 0.0000 4.5893
```

* space-group type: P4/mmm
* size of the total moment: 0.000 μB/f.u.

=====

Entry two
Computed, not measured: AcTb2Ga after structural relaxation at the PBE level of DFT.

```
4
Lattice="4.9101 0.0000 0.0000 0.0000 4.9101 0.0000 0.0000 0.0000 4.9350" Properties=species:S:1:pos:R:3 pbc="T T T"
Ac 0.0000 0.0000 0.0000
Tb 0.0000 2.4551 2.4675
Tb 2.4551 0.0000 2.4675
Ga 2.4551 2.4551 0.0000
```

* space-group type: P4/mmm
* size of the total moment: 0.003 μB/f.u.

=====

Energy ordering: entry one at the bottom, the next structure 11.0 kJ/mol of atoms above.